Below is an optimized crystal structure of YGaPd, with properties calculated at the PBE level.

The structure in CIF format:
```
data_YGaPd
_chemical_formula_sum 'Y4 Ga4 Pd4'
_space_group_name_H-M_alt 'P n m a'
_space_group_IT_number 62
_cell_length_a 6.973
_cell_length_b 4.473
_cell_length_c 7.669
_cell_angle_alpha 90.00
_cell_angle_beta 90.00
_cell_angle_gamma 90.00
loop_
_space_group_symop_operation_xyz
'x,y,z'
'-x,-y,-z'
'-x+1/2,-y,z+1/2'
'x+1/2,y,-z+1/2'
'x+1/2,-y+1/2,-z+1/2'
'-x+1/2,y+1/2,z+1/2'
'-x,y+1/2,-z'
'x,-y+1/2,z'
loop_
_atom_site_label
_atom_site_type_symbol
_atom_site_fract_x
_atom_site_fract_y
_atom_site_fract_z
_atom_site_occupancy
Y1 Y 0.017 0.250 0.198 1
Ga1 Ga 0.175 0.250 0.575 1
Pd1 Pd 0.219 0.750 0.402 1
```

Values from the calculation:
- crystal system = orthorhombic
- electronic total energy (eV/atom) = -5.795